(1)
VASP calculation (GGA-PBE) on crystalline Sr2NpBiO6 at its relaxed geometry.

- Magnetization: 2.00 μB/f.u.
- Symmetry: P4mm, No. 99
- Calculated total energy: -7.41 eV/atom
- ΔE_f (raw): -2.42 eV per atom

abc: 6.206 6.206 4.539
angles: 90.00 90.00 90.00
Element x y z (fractional)
Sr  0.000  0.500  0.000
Sr  0.500  0.000  0.000
Np  0.000  0.000  0.618
Bi  0.500  0.500  0.587
O  0.000  0.000  0.125
O  0.237  0.237  0.665
O  0.237  0.763  0.665
O  0.500  0.500  0.087
O  0.763  0.237  0.665
O  0.763  0.763  0.665

(2)
VASP calculation (GGA-PBE) on crystalline TmSc3Ga4 at its relaxed geometry.

- Formation energy: -580 meV/atom
- Magnetization: 0.00 μB/f.u.
- Symmetry: P4/mmm, No. 123
- Calculated total energy: -5.03 eV/atom

abc: 4.817 4.817 6.774
angles: 90.00 90.00 90.00
Element x y z (fractional)
Tm  0.000  0.000  0.000
Sc  0.000  0.000  0.500
Sc  0.500  0.500  0.000
Sc  0.500  0.500  0.500
Ga  0.000  0.500  0.259
Ga  0.000  0.500  0.741
Ga  0.500  0.000  0.259
Ga  0.500  0.000  0.741

(3)
VASP calculation (GGA-PBE) on crystalline TiPt2Pb2 at its relaxed geometry.

- Formation energy: -159 meV/atom
- Magnetization: 0.00 μB/f.u.
- Symmetry: P4/mbm, No. 127
- Calculated total energy: -5.64 eV/atom

abc: 6.809 6.809 4.676
angles: 90.00 90.00 90.00
Element x y z (fractional)
Ti  0.000  0.000  0.000
Ti  0.500  0.500  0.000
Pt  0.141  0.359  0.000
Pt  0.359  0.859  0.000
Pt  0.641  0.141  0.000
Pt  0.859  0.641  0.000
Pb  0.177  0.677  0.500
Pb  0.323  0.177  0.500
Pb  0.677  0.823  0.500
Pb  0.823  0.323  0.500